# 1
First-principles (meta-GGA SCAN) data for TiSbTe2O at its PBEsol-relaxed geometry, as listed in Alexandria via LeMat-Bulk.

Results
calculated density = 5.418 g/cm³
energy relative to the elements, uncorrected = 0.386 eV per atom
size of the total moment = 1.55 μB per cell
total DFT energy (no corrections) = -26.42 eV/atom

The structure in CIF format:
```
data_TiSbTe2O
_chemical_formula_sum 'Ti1 Sb1 Te2 O1'
_symmetry_space_group_name_H-M 'P 4/m m m'
_symmetry_Int_Tables_number 123
_symmetry_space_group_name_Hall '-P 4 2'
_cell_length_a 5.1058
_cell_length_b 5.1058
_cell_length_c 5.1825
_cell_angle_alpha 90.00
_cell_angle_beta 90.00
_cell_angle_gamma 90.00
loop_
_atom_site_label
_atom_site_type_symbol
_atom_site_fract_x
_atom_site_fract_y
_atom_site_fract_z
Ti1 Ti 0.0000 0.0000 0.0000
Sb1 Sb 0.0000 0.0000 0.5000
Te1 Te 0.0000 0.5000 0.0000
O1 O 0.5000 0.5000 0.5000
```

# 2
First-principles (meta-GGA SCAN) data for InIr2PdAu at its PBEsol-relaxed geometry, as listed in Alexandria via LeMat-Bulk.

Results
calculated density = 11.903 g/cm³
size of the total moment = 1.81 μB per cell
total DFT energy (no corrections) = -53.50 eV/atom
E_form = 2004 meV per atom

The structure in CIF format:
```
data_InIr2PdAu
_chemical_formula_sum 'In1 Ir2 Pd1 Au1'
_symmetry_space_group_name_H-M 'P 4/m m m'
_symmetry_Int_Tables_number 123
_symmetry_space_group_name_Hall '-P 4 2'
_cell_length_a 4.8029
_cell_length_b 4.8029
_cell_length_c 4.8542
_cell_angle_alpha 90.00
_cell_angle_beta 90.00
_cell_angle_gamma 90.00
loop_
_atom_site_label
_atom_site_type_symbol
_atom_site_fract_x
_atom_site_fract_y
_atom_site_fract_z
In1 In 0.0000 0.0000 0.0000
Ir1 Ir 0.0000 0.5000 0.0000
Pd1 Pd 0.5000 0.5000 0.5000
Au1 Au 0.0000 0.0000 0.5000
```